(1)
Density functional theory data (PBE-GGA) for Ru2PtRh after structural relaxation.

Properties
energy relative to the elements: 0.0563 eV per atom
VASP energy: -31.7 eV for the cell shown
polymorph energy (0 for the lowest one): 6.7 kJ/mol of atoms
calculated volume: 57.5 Å³/cell
symmetry: No. 12

a b c (Å): 4.7346 4.7346 4.7266
angles (deg): 80.31 80.31 33.48
Sites, in units of the cell vectors:
1 Pt 0.2500 0.2500 0.2500
2 Ru 0.4985 0.4985 0.5058
3 Rh 0.7500 0.7500 0.7500
4 Ru 0.0015 0.0015 0.9942

***

(2)
Density functional theory data (PBE-GGA) for RuPt2Rh2 after structural relaxation.

Properties
energy relative to the elements: 0.2231 eV per atom
VASP energy: -69.9 eV for the cell shown
polymorph energy (0 for the lowest one): 23.7 kJ/mol of atoms
calculated volume: 154.8 Å³/cell
symmetry: No. 12

a b c (Å): 4.6793 6.0653 6.3614
angles (deg): 109.89 90.00 112.69
Last column: magnetic moment on the atom in μB.
Sites, in units of the cell vectors:
1 Pt 0.2790 0.5581 0.2937  0.03
2 Pt 0.9203 0.8406 0.1073  0.04
3 Rh 0.1214 0.2427 0.5043  0.00
4 Pt 0.0797 0.1594 0.8927  0.04
5 Ru 0.3240 0.6480 0.8978  0.62
6 Ru 0.6760 0.3520 0.1022  0.62
7 Rh 0.8786 0.7573 0.4957  0.00
8 Pt 0.7210 0.4419 0.7063  0.03
9 Rh 0.5281 0.0561 0.2984  0.23
10 Rh 0.4719 0.9439 0.7016  0.23